Entry 1:
# PBE-GGA TcCSN2, optimized geometry
data_TcCSN2
_cell_length_a 3.738
_cell_length_b 3.738
_cell_length_c 5.114
_cell_angle_alpha 90.00
_cell_angle_beta 90.00
_cell_angle_gamma 90.00
_symmetry_space_group_name_H-M 'P 1'
_symmetry_Int_Tables_number 1
_symmetry_space_group_name_Hall 'P 1'
loop_
_atom_site_label
_atom_site_type_symbol
_atom_site_fract_x
_atom_site_fract_y
_atom_site_fract_z
N1 N 0.000 0.500 0.000
N2 N 0.500 0.000 0.000
C1 C 0.500 0.500 0.500
S1 S 0.000 0.000 0.500
Tc1 Tc 0.000 0.000 0.000
# Total moment (μB/atom): 0.16

***

Entry 2:
# PBE-GGA TcCS2N, optimized geometry
data_TcCS2N
_cell_length_a 4.720
_cell_length_b 4.720
_cell_length_c 3.696
_cell_angle_alpha 90.00
_cell_angle_beta 90.00
_cell_angle_gamma 90.00
_symmetry_space_group_name_H-M 'P 1'
_symmetry_Int_Tables_number 1
_symmetry_space_group_name_Hall 'P 1'
loop_
_atom_site_label
_atom_site_type_symbol
_atom_site_fract_x
_atom_site_fract_y
_atom_site_fract_z
Tc1 Tc 0.000 0.000 0.000
N1 N 0.000 0.000 0.500
S1 S 0.000 0.500 0.000
S2 S 0.500 0.000 0.000
C1 C 0.500 0.500 0.500
# Total moment (μB/atom): 0.19

***

Entry 3:
# PBE-GGA TcCSN2, optimized geometry
data_TcCSN2
_cell_length_a 3.567
_cell_length_b 3.567
_cell_length_c 3.716
_cell_angle_alpha 90.00
_cell_angle_beta 90.00
_cell_angle_gamma 90.00
_symmetry_space_group_name_H-M 'P 1'
_symmetry_Int_Tables_number 1
_symmetry_space_group_name_Hall 'P 1'
loop_
_atom_site_label
_atom_site_type_symbol
_atom_site_fract_x
_atom_site_fract_y
_atom_site_fract_z
N1 N 0.000 0.500 0.000
N2 N 0.500 0.000 0.000
C1 C 0.000 0.000 0.000
Tc1 Tc 0.500 0.500 0.500
S1 S 0.000 0.000 0.500
# Total moment (μB/atom): 0.20

***

no.,E above lowest polymorph (meV per atom),ΔE_f (raw) (eV/atom)
1,96,1.800
2,492,1.651
3,365,2.070